[1]
The following is a DFT calculation (GGA-PBE) of a geometry-optimized AgIrRh structure.

Output
As for the space-group type: P3m1 (156). As for the spin magnetization: 0.000 μB/atom.

Lattice parameters (Å, degrees): 2.7649 2.7649 6.9590 90.00 90.00 120.00
Closest atoms and distances in Å follow each position.
Element x y z (fractional)
Ag1 0.0000 0.0000 0.0000  6 Ag 2.76, 3 Rh 2.89, 3 Ir 2.91
Ir1 0.3333 0.6667 0.3488  3 Rh 2.66, 6 Ir 2.76, 3 Ag 2.91
Rh1 0.6667 0.3333 0.6547  3 Ir 2.66, 6 Rh 2.76, 3 Ag 2.89

---

[2]
The following is a DFT calculation (GGA-PBE) of a geometry-optimized La7Ga2Pb2 structure.

Output
As for the space-group type: Cmmm (65). As for the spin magnetization: 0.000 μB/atom.

Lattice parameters (Å, degrees): 7.0486 7.0486 7.9712 90.00 90.00 109.61
Closest atoms and distances in Å follow each position.
Element x y z (fractional)
La1 0.0000 0.0000 0.0000  2 Pb 3.40
La2 0.0000 0.5000 0.3123  1 La 2.99, 2 Pb 3.25, 2 Ga 3.33
La3 0.0000 0.5000 0.6877  1 La 2.99, 2 Pb 3.25, 2 Ga 3.33
La4 0.5000 0.0000 0.3123  1 La 2.99, 2 Pb 3.25, 2 Ga 3.33
La5 0.5000 0.0000 0.6877  1 La 2.99, 2 Pb 3.25, 2 Ga 3.33
La6 0.5000 0.5000 0.2857  2 Ga 3.26, 2 Pb 3.28, 5 La 3.42-3.53
La7 0.5000 0.5000 0.7143  2 Ga 3.26, 2 Pb 3.28, 5 La 3.42-3.53
Ga1 0.1578 0.1578 0.5000  1 Ga 2.56
Ga2 0.8422 0.8422 0.5000  1 Ga 2.56
Pb1 0.2948 0.7052 0.0000  7 La 3.25-3.40
Pb2 0.7052 0.2948 0.0000  7 La 3.25-3.40

---

[3]
The following is a DFT calculation (GGA-PBE) of a geometry-optimized BeW structure.

Output
As for the space-group type: P2_13 (198). As for the spin magnetization: 0.000 μB/atom.

Lattice parameters (Å, degrees): 4.6481 4.6481 4.6481 90.00 90.00 90.00
Closest atoms and distances in Å follow each position.
Element x y z (fractional)
Be1 0.0966 0.4034 0.5966  7 W 2.45-2.51
Be2 0.4034 0.5966 0.0966  7 W 2.45-2.51
Be3 0.5966 0.0966 0.4034  7 W 2.45-2.51
Be4 0.9034 0.9034 0.9034  7 W 2.45-2.51
W1 0.0996 0.9004 0.4004  7 Be 2.45-2.51
W2 0.4004 0.0996 0.9004  7 Be 2.45-2.51
W3 0.5996 0.5996 0.5996  7 Be 2.45-2.51
W4 0.9004 0.4004 0.0996  7 Be 2.45-2.51

---

Number 1: formation enthalpy at 0 K 0.189 eV per atom, D(E_F) 3.18 states/eV per cell. Number 2: formation enthalpy at 0 K -0.238 eV per atom, D(E_F) 12.10 states/eV per cell. Number 3: formation enthalpy at 0 K 0.299 eV per atom, D(E_F) 4.31 states/eV per cell.